First-principles (PBE) data for a geometry-optimized LuInNi structure, as listed in OQMD.

Values from the calculation:
Electronic total energy, eV per atom: -4.55

Cell lengths 6.8273, 6.8273, 4.4297 Å; angles 90.00, 90.00, 120.00 degrees
Space group P-62m (No. 189)
Unique sites:
1 Lu 0.0000 0.5544 0.0000 x3
2 In 0.0000 0.0000 0.0000 x1
3 In 0.3333 0.6667 0.5000 x2
4 Ni 0.0000 0.2281 0.5000 x3

---

First-principles (PBE) data for a geometry-optimized Lu3In3NiPt2 structure, as listed in OQMD.

Values from the calculation:
Electronic total energy, eV per atom: -5.25

Cell lengths 7.6130, 7.6130, 3.6704 Å; angles 90.00, 90.00, 120.00 degrees
Space group P-62m (No. 189)
Unique sites:
1 Lu 0.0000 0.4086 0.0000 x3
2 In 0.0000 0.7489 0.5000 x3
3 Ni 0.0000 0.0000 0.0000 x1
4 Pt 0.3333 0.6667 0.5000 x2

---

First-principles (PBE) data for a geometry-optimized Lu3In3Ni2Pt structure, as listed in OQMD.

Values from the calculation:
Electronic total energy, eV per atom: -4.96

Cell lengths 7.4272, 7.4272, 3.8031 Å; angles 90.00, 90.00, 120.00 degrees
Space group P-62m (No. 189)
Unique sites:
1 Lu 0.0000 0.4036 0.0000 x3
2 In 0.0000 0.7281 0.5000 x3
3 Ni 0.3333 0.6667 0.5000 x2
4 Pt 0.0000 0.0000 0.0000 x1

---

First-principles (PBE) data for a geometry-optimized LuInNiS3 structure, as listed in OQMD.

Values from the calculation:
Electronic total energy, eV per atom: -5.17

Cell lengths 3.674, 13.448, 9.961 Å; angles 90.00, 90.00, 90.00 degrees
Space group Cmcm (No. 63)
Unique sites:
1 Lu 0.000 0.000 0.000 x4
2 In 0.000 0.247 0.250 x4
3 Ni 0.000 0.478 0.750 x4
4 S 0.000 0.077 0.750 x4
5 S 0.000 0.368 0.577 x8

---

First-principles (PBE) data for a geometry-optimized LuInNiSe3 structure, as listed in OQMD.

Values from the calculation:
Electronic total energy, eV per atom: -4.76

Cell lengths 3.815, 14.202, 10.258 Å; angles 90.00, 90.00, 90.00 degrees
Space group Cmcm (No. 63)
Unique sites:
1 Lu 0.000 0.000 0.000 x4
2 In 0.000 0.245 0.250 x4
3 Ni 0.000 0.478 0.750 x4
4 Se 0.000 0.079 0.750 x4
5 Se 0.000 0.366 0.573 x8

---

First-principles (PBE) data for a geometry-optimized SrLuIn4Ni2 structure, as listed in OQMD.

Values from the calculation:
Electronic total energy, eV per atom: -3.88

Cell lengths 7.683, 4.342, 10.497 Å; angles 90.00, 90.00, 90.00 degrees
Space group Amm2 (No. 38)
Unique sites:
1 Sr 0.000 0.000 0.000 x2
2 Lu 0.500 0.000 0.119 x2
3 In 0.205 0.000 0.709 x4
4 In 0.308 0.000 0.410 x4
5 Ni 0.000 0.000 0.280 x2
6 Ni 0.500 0.000 0.842 x2

---

First-principles (PBE) data for a geometry-optimized LuTaInNi structure, as listed in OQMD.

Values from the calculation:
Energy above the lowest structure with this stoichiometry, meV per atom: 0

Cell lengths 6.754, 6.754, 6.754 Å; angles 90.00, 90.00, 90.00 degrees
Space group F-43m (No. 216)
Unique sites:
1 Lu 0.000 0.000 0.000 x4
2 Ta 0.250 0.250 0.250 x4
3 In 0.000 0.000 0.500 x4
4 Ni 0.250 0.250 0.750 x4

---

First-principles (PBE) data for a geometry-optimized TbLuIn4Ni2 structure, as listed in OQMD.

Values from the calculation:
Electronic total energy, eV per atom: -4.33

Cell lengths 7.413, 4.297, 10.394 Å; angles 90.00, 90.00, 90.00 degrees
Space group Amm2 (No. 38)
Unique sites:
1 Tb 0.000 0.000 0.000 x2
2 Lu 0.500 0.000 0.864 x2
3 In 0.202 0.000 0.289 x4
4 In 0.301 0.000 0.575 x4
5 Ni 0.000 0.000 0.716 x2
6 Ni 0.500 0.000 0.146 x2

---

First-principles (PBE) data for a geometry-optimized TbLuIn2Ni4 structure, as listed in OQMD.

Values from the calculation:
Electronic total energy, eV per atom: -5.08

Cell lengths 3.975, 5.081, 6.972 Å; angles 90.00, 90.00, 90.00 degrees
Space group Pmm2 (No. 25)
Unique sites:
1 Tb 0.000 0.000 0.000 x1
2 Lu 0.000 0.500 0.471 x1
3 In 0.500 0.000 0.377 x1
4 In 0.500 0.500 0.092 x1
5 Ni 0.000 0.000 0.618 x1
6 Ni 0.000 0.500 0.846 x1
7 Ni 0.500 0.253 0.729 x2

---

First-principles (PBE) data for a geometry-optimized LuInTcNi structure, as listed in OQMD.

Values from the calculation:
Energy above the lowest structure with this stoichiometry, meV per atom: 347

Cell lengths 6.601, 6.601, 6.601 Å; angles 90.00, 90.00, 90.00 degrees
Space group F-43m (No. 216)
Unique sites:
1 Lu 0.000 0.000 0.000 x4
2 In 0.250 0.250 0.250 x4
3 Tc 0.250 0.250 0.750 x4
4 Ni 0.000 0.000 0.500 x4

---

First-principles (PBE) data for a geometry-optimized LuInTcNi structure, as listed in OQMD.

Values from the calculation:
Energy above the lowest structure with this stoichiometry, meV per atom: 0

Cell lengths 6.531, 6.531, 6.531 Å; angles 90.00, 90.00, 90.00 degrees
Space group F-43m (No. 216)
Unique sites:
1 Lu 0.000 0.000 0.000 x4
2 In 0.000 0.000 0.500 x4
3 Tc 0.250 0.250 0.250 x4
4 Ni 0.250 0.250 0.750 x4

---

First-principles (PBE) data for a geometry-optimized LuInNiTe3 structure, as listed in OQMD.

Values from the calculation:
Energy above the lowest structure with this stoichiometry, meV per atom: 120

Cell lengths 17.423, 4.255, 9.463 Å; angles 90.00, 104.97, 90.00 degrees
Space group C2/m (No. 12)
Unique sites:
1 Lu 0.174 0.000 0.090 x4
2 In 0.139 0.000 0.563 x4
3 Ni 0.005 0.500 0.190 x4
4 Te 0.000 0.000 0.000 x2
5 Te 0.000 0.500 0.500 x2
6 Te 0.149 0.500 0.853 x4
7 Te 0.159 0.500 0.304 x4

---

First-principles (PBE) data for a geometry-optimized LuInNiTe3 structure, as listed in OQMD.

Values from the calculation:
Energy above the lowest structure with this stoichiometry, meV per atom: 61

Cell lengths 9.487, 4.102, 16.427 Å; angles 90.00, 90.00, 90.00 degrees
Space group Pnma (No. 62)
Unique sites:
1 Lu 0.178 0.250 0.037 x4
2 In 0.141 0.750 0.298 x4
3 Ni 0.183 0.750 0.846 x4
4 Te 0.008 0.250 0.879 x4
5 Te 0.134 0.750 0.694 x4
6 Te 0.142 0.250 0.462 x4

---

First-principles (PBE) data for a geometry-optimized LuInNiTe3 structure, as listed in OQMD.

Values from the calculation:
Energy above the lowest structure with this stoichiometry, meV per atom: 9

Cell lengths 10.842, 4.042, 15.180 Å; angles 90.00, 90.00, 90.00 degrees
Space group Pnma (No. 62)
Unique sites:
1 Lu 0.005 0.250 0.248 x4
2 In 0.242 0.750 0.504 x4
3 Ni 0.247 0.250 0.726 x4
4 Te 0.068 0.250 0.614 x4
5 Te 0.078 0.750 0.112 x4
6 Te 0.246 0.750 0.831 x4

---

First-principles (PBE) data for a geometry-optimized LuInNiTe3 structure, as listed in OQMD.

Values from the calculation:
Energy above the lowest structure with this stoichiometry, meV per atom: 8

Cell lengths 8.812, 4.078, 10.618 Å; angles 90.00, 111.25, 90.00 degrees
Space group P2_1/m (No. 11)
Unique sites:
1 Lu 0.195 0.250 0.155 x2
2 In 0.234 0.750 0.701 x2
3 Ni 0.410 0.750 0.393 x2
4 Te 0.064 0.250 0.852 x2
5 Te 0.290 0.250 0.465 x2
6 Te 0.449 0.750 0.166 x2

---

First-principles (PBE) data for a geometry-optimized LuInNiTe3 structure, as listed in OQMD.

Values from the calculation:
Energy above the lowest structure with this stoichiometry, meV per atom: 24

Cell lengths 12.693, 4.065, 12.289 Å; angles 90.00, 90.00, 90.00 degrees
Space group Pnma (No. 62)
Unique sites:
1 Lu 0.029 0.250 0.190 x4
2 In 0.193 0.250 0.493 x4
3 Ni 0.220 0.750 0.346 x4
4 Te 0.020 0.750 0.365 x4
5 Te 0.101 0.250 0.942 x4
6 Te 0.233 0.750 0.715 x4

---

First-principles (PBE) data for a geometry-optimized LuInNiTe3 structure, as listed in OQMD.

Values from the calculation:
Energy above the lowest structure with this stoichiometry, meV per atom: 9

Cell lengths 4.034, 15.196, 10.845 Å; angles 90.00, 90.00, 90.00 degrees
Space group Cmcm (No. 63)
Unique sites:
1 Lu 0.000 0.000 0.000 x4
2 In 0.000 0.246 0.250 x4
3 Ni 0.000 0.476 0.750 x4
4 Te 0.000 0.081 0.750 x4
5 Te 0.000 0.363 0.572 x8

---

First-principles (PBE) data for a geometry-optimized LuInNiTe3 structure, as listed in OQMD.

Values from the calculation:
Energy above the lowest structure with this stoichiometry, meV per atom: 0

Cell lengths 15.744, 4.088, 11.046 Å; angles 90.00, 90.00, 90.00 degrees
Space group Pnma (No. 62)
Unique sites:
1 Lu 0.016 0.250 0.168 x4
2 In 0.233 0.250 0.466 x4
3 Ni 0.008 0.750 0.397 x4
4 Te 0.087 0.750 0.596 x4
5 Te 0.108 0.250 0.931 x4
6 Te 0.139 0.750 0.263 x4

---

First-principles (PBE) data for a geometry-optimized TmLuIn4Ni2 structure, as listed in OQMD.

Values from the calculation:
Electronic total energy, eV per atom: -4.30

Cell lengths 7.424, 4.272, 10.312 Å; angles 90.00, 90.00, 90.00 degrees
Space group Amm2 (No. 38)
Unique sites:
1 Tm 0.000 0.000 0.000 x2
2 Lu 0.500 0.000 0.863 x2
3 In 0.201 0.000 0.289 x4
4 In 0.300 0.000 0.574 x4
5 Ni 0.000 0.000 0.715 x2
6 Ni 0.500 0.000 0.147 x2

---

First-principles (PBE) data for a geometry-optimized YLuIn2Ni4 structure, as listed in OQMD.

Values from the calculation:
Electronic total energy, eV per atom: -5.30

Cell lengths 3.988, 5.056, 6.970 Å; angles 90.00, 90.00, 90.00 degrees
Space group Pmm2 (No. 25)
Unique sites:
1 Y 0.000 0.000 0.000 x1
2 Lu 0.000 0.500 0.468 x1
3 In 0.500 0.000 0.374 x1
4 In 0.500 0.500 0.089 x1
5 Ni 0.000 0.000 0.615 x1
6 Ni 0.000 0.500 0.842 x1
7 Ni 0.500 0.253 0.727 x2